VASP calculation (PBE) on Pm2InIr after structural relaxation.

abc: 7.628 7.628 7.412
angles: 90.00 90.00 149.57
Element x y z (fractional)
Pm (0.141, 0.859, 0.000)
Pm (0.141, 0.859, 0.500)
Pm (0.859, 0.141, 0.000)
Pm (0.859, 0.141, 0.500)
In (0.497, 0.503, 0.750)
In (0.503, 0.497, 0.250)
Ir (0.300, 0.700, 0.750)
Ir (0.700, 0.300, 0.250)

The energy relative to the elements is -0.585 eV/atom. The space group is Cmcm (63). Its energy above the lowest structure with this stoichiometry is 0 meV per atom. The value obtained for the electronic total energy is -46.9 eV per cell.

=====

VASP calculation (PBE) on Li5Ag6Hg2 after structural relaxation.

abc: 9.487 16.161 3.023
angles: 90.00 90.00 90.00
Element x y z (fractional)
Li (0.000, 0.000, 0.000)
Li (0.094, 0.274, 0.000)
Li (0.195, 0.555, 0.000)
Li (0.305, 0.055, 0.000)
Li (0.406, 0.774, 0.000)
Li (0.500, 0.500, 0.000)
Li (0.594, 0.226, 0.000)
Li (0.695, 0.945, 0.000)
Li (0.805, 0.445, 0.000)
Li (0.906, 0.726, 0.000)
Ag (0.064, 0.421, 0.500)
Ag (0.069, 0.133, 0.500)
Ag (0.188, 0.882, 0.000)
Ag (0.312, 0.382, 0.000)
Ag (0.431, 0.633, 0.500)
Ag (0.436, 0.921, 0.500)
Ag (0.564, 0.079, 0.500)
Ag (0.569, 0.367, 0.500)
Ag (0.688, 0.618, 0.000)
Ag (0.812, 0.118, 0.000)
Ag (0.931, 0.867, 0.500)
Ag (0.936, 0.579, 0.500)
Hg (0.158, 0.712, 0.500)
Hg (0.342, 0.212, 0.500)
Hg (0.658, 0.788, 0.500)
Hg (0.842, 0.288, 0.500)

The energy relative to the elements is -0.158 eV/atom. The space group is Pbam (55). The value obtained for the electronic total energy is -58.7 eV per cell.

=====

VASP calculation (PBE) on Ho3Al8Au3 after structural relaxation.

abc: 8.243 8.243 9.755
angles: 125.90 125.90 30.66
Element x y z (fractional)
Ho (0.000, 0.000, 0.000)
Ho (0.299, 0.299, 0.301)
Ho (0.701, 0.701, 0.699)
Al (0.141, 0.141, 0.861)
Al (0.145, 0.145, 0.426)
Al (0.343, 0.343, 0.967)
Al (0.497, 0.497, 0.309)
Al (0.503, 0.503, 0.691)
Al (0.657, 0.657, 0.033)
Al (0.855, 0.855, 0.574)
Al (0.859, 0.859, 0.139)
Au (0.000, 0.000, 0.500)
Au (0.348, 0.348, 0.709)
Au (0.652, 0.652, 0.291)

The energy relative to the elements is -0.571 eV/atom. The space group is C2/m (12). The value obtained for the electronic total energy is -61.5 eV per cell.